[1]
Here is a relaxed BeAg2Cl crystal from Alexandria via LeMat-Bulk. Energies are from PBE-GGA. Values from VASP.

## Properties
ΔE to the lowest computed polymorph ... 449 meV per atom
E ... -2.484 eV per atom
DOS at the Fermi energy ... 1.39 states/eV per cell
E_form (uncorrected) ... 0.334 eV/atom

Quantum ESPRESSO input file:
```
&SYSTEM
  ibrav = 0, nat = 8, ntyp = 3
/
ATOMIC_SPECIES
Be 9.01 Be.upf
Ag 107.87 Ag.upf
Cl 35.45 Cl.upf
ATOMIC_POSITIONS angstrom
Be 0.000 0.000 0.000
Be 1.802 1.802 6.005
Ag 0.000 0.000 6.005
Ag 0.000 1.802 3.003
Ag 1.802 0.000 9.008
Ag 1.802 1.802 0.000
Cl 0.000 1.802 9.008
Cl 1.802 0.000 3.003
CELL_PARAMETERS angstrom
3.604 0.000 0.000
0.000 3.604 0.000
0.000 0.000 12.010
```

[2]
Here is a relaxed CrInSbCl6 crystal from Alexandria via LeMat-Bulk. Energies are from PBE-GGA. Values from VASP.

## Properties
E ... -3.942 eV per atom
E_form (uncorrected) ... -0.879 eV/atom

Quantum ESPRESSO input file:
```
&SYSTEM
  ibrav = 0, nat = 9, ntyp = 4
/
ATOMIC_SPECIES
Cr 52.00 Cr.upf
In 114.82 In.upf
Sb 121.76 Sb.upf
Cl 35.45 Cl.upf
ATOMIC_POSITIONS angstrom
Cr 0.000 0.000 0.000
In 3.326 1.843 3.457
Sb -0.054 3.613 6.912
Cl -2.407 4.111 5.425
Cl -0.862 1.840 1.300
Cl -1.359 5.846 1.482
Cl 0.810 1.833 5.298
Cl 2.166 4.059 1.605
Cl 1.344 5.542 5.612
CELL_PARAMETERS angstrom
6.820 0.000 0.000
-3.214 6.028 0.000
-0.233 -0.375 6.912
```

[3]
Here is a relaxed FeSiBP crystal from Alexandria via LeMat-Bulk. Energies are from PBE-GGA. Values from VASP.

## Properties
ΔE to the lowest computed polymorph ... 71 meV per atom
E ... -6.519 eV per atom
DOS at the Fermi energy ... 2.27 states/eV per cell
E_form (uncorrected) ... -0.025 eV/atom

Quantum ESPRESSO input file:
```
&SYSTEM
  ibrav = 0, nat = 8, ntyp = 4
/
ATOMIC_SPECIES
Fe 55.84 Fe.upf
Si 28.09 Si.upf
B 10.81 B.upf
P 30.97 P.upf
ATOMIC_POSITIONS angstrom
Fe 0.000 0.000 0.000
Fe 5.196 1.454 0.000
Si 0.648 1.454 1.657
Si 5.844 0.000 1.657
B 2.027 0.000 0.907
B 7.223 1.454 0.907
P 2.865 0.000 2.673
P 8.061 1.454 2.673
CELL_PARAMETERS angstrom
10.391 0.000 0.000
0.000 2.908 0.000
-0.612 0.000 3.030
```

[4]
Here is a relaxed BaSr3Ca5 crystal from Alexandria via LeMat-Bulk. Energies are from PBE-GGA. Values from VASP.

## Properties
ΔE to the lowest computed polymorph ... 0 meV per atom
E ... -1.813 eV per atom
DOS at the Fermi energy ... 29.23 states/eV per cell
E_form ... 0.66 eV per formula unit

Quantum ESPRESSO input file:
```
&SYSTEM
  ibrav = 0, nat = 18, ntyp = 3
/
ATOMIC_SPECIES
Ba 137.33 Ba.upf
Sr 87.62 Sr.upf
Ca 40.08 Ca.upf
ATOMIC_POSITIONS angstrom
Ba 0.000 0.000 0.000
Ba 0.000 0.000 3.936
Sr -1.900 3.291 1.968
Sr -3.766 6.523 5.904
Sr 3.801 0.000 1.968
Sr 1.900 3.291 5.904
Sr 7.532 0.000 5.904
Sr 3.766 6.523 1.968
Ca -1.929 3.340 5.904
Ca -3.738 6.474 1.968
Ca 0.000 6.543 0.000
Ca 0.000 6.543 3.936
Ca 3.857 0.000 5.904
Ca 1.929 3.340 1.968
Ca 7.476 0.000 1.968
Ca 3.738 6.474 5.904
Ca 5.666 3.272 0.000
Ca 5.666 3.272 3.936
CELL_PARAMETERS angstrom
11.333 0.000 0.000
-5.666 9.815 0.000
0.000 0.000 7.872
```

[5]
Here is a relaxed Zr2TiCu crystal from Alexandria via LeMat-Bulk. Energies are from PBE-GGA. Values from VASP.

## Properties
E ... -7.345 eV per atom
DOS at the Fermi energy ... 2.98 states/eV per cell
E_form ... -0.29 eV per formula unit

Quantum ESPRESSO input file:
```
&SYSTEM
  ibrav = 0, nat = 4, ntyp = 3
/
ATOMIC_SPECIES
Zr 91.22 Zr.upf
Ti 47.87 Ti.upf
Cu 63.55 Cu.upf
ATOMIC_POSITIONS angstrom
Zr 0.000 0.000 1.849
Zr 0.000 0.000 5.955
Ti 1.558 1.558 3.902
Cu 1.558 1.558 0.000
CELL_PARAMETERS angstrom
3.115 0.000 0.000
0.000 3.115 0.000
0.000 0.000 7.803
```

[6]
Here is a relaxed Ti5P3 crystal from Alexandria via LeMat-Bulk. Energies are from PBE-GGA. Values from VASP.

## Properties
ΔE to the lowest computed polymorph ... 0 meV per atom
E ... -8.087 eV per atom
DOS at the Fermi energy ... 21.23 states/eV per cell
E_form ... -8.99 eV per formula unit

Quantum ESPRESSO input file:
```
&SYSTEM
  ibrav = 0, nat = 32, ntyp = 2
/
ATOMIC_SPECIES
Ti 47.87 Ti.upf
P 30.97 P.upf
ATOMIC_POSITIONS angstrom
Ti 0.006 1.856 0.188
Ti 0.707 0.344 4.503
Ti 0.707 3.367 4.503
Ti 2.022 5.567 2.297
Ti 2.190 1.856 2.214
Ti 2.695 5.567 5.464
Ti 2.862 1.856 5.547
Ti 4.177 4.055 1.253
Ti 4.177 7.078 1.253
Ti 4.879 5.567 3.438
Ti 4.890 1.856 3.061
Ti 5.592 0.344 5.246
Ti 5.592 3.367 5.246
Ti 6.907 5.567 0.953
Ti 7.074 1.856 1.035
Ti 7.579 5.567 4.285
Ti 7.747 1.856 4.202
Ti 9.062 4.055 1.997
Ti 9.062 7.078 1.997
Ti 9.763 5.567 6.311
P 0.141 5.567 3.768
P 1.697 3.780 0.456
P 1.697 7.354 0.456
P 3.188 0.069 3.706
P 3.188 3.643 3.706
P 4.743 1.856 0.518
P 5.026 5.567 5.981
P 6.581 3.780 2.794
P 6.581 7.354 2.794
P 8.072 0.069 6.043
P 8.072 3.643 6.043
P 9.628 1.856 2.731
CELL_PARAMETERS angstrom
9.769 0.000 0.000
0.000 7.423 0.000
0.000 0.000 6.499
```

Number 1: calculated density 5.5 g cm⁻³. Number 2: calculated density 2.9 g cm⁻³. Number 3: calculated density 4.6 g cm⁻³. Number 4: calculated density 2.3 g cm⁻³. Number 5: calculated density 6.4 g cm⁻³. Number 6: calculated density 4.7 g cm⁻³.